Record 1
The following is a GGA-PBE calculation of crystalline Tb5Ho2Er12 at its relaxed geometry, from Alexandria via LeMat-Bulk.

Lattice parameters (Å, degrees): 6.433 8.782 11.285 109.68 93.15 97.96
Space group P-1 (No. 2)
Unique sites:
Tb1 0.000 0.000 0.000
Tb2 0.197 0.988 0.697
Tb3 0.486 0.608 0.280
Ho1 0.263 0.554 0.539
Er1 0.033 0.741 0.370
Er2 0.052 0.344 0.231
Er3 0.223 0.400 0.959
Er4 0.296 0.826 0.138
Er5 0.335 0.128 0.422
Er6 0.477 0.802 0.863

Computed properties:
Energy of formation = 0.092 eV per atom
Size of the total moment = 0.0000 μB/atom
ΔE to the lowest computed polymorph = 0.0000 eV/atom

Record 2
The following is a GGA-PBE calculation of crystalline ZrSI2 at its relaxed geometry, from Alexandria via LeMat-Bulk.

Lattice parameters (Å, degrees): 7.297 7.297 7.297 90.00 90.00 90.00
Space group Fm-3m (No. 225)
Unique sites:
Zr1 0.000 0.000 0.000
S1 0.000 0.000 0.500
I1 0.250 0.250 0.250

Computed properties:
Size of the total moment = 0.0000 μB/atom
ΔE to the lowest computed polymorph = 0.9637 eV/atom
Formation energy without anion corrections = -10 meV/atom

Record 3
The following is a GGA-PBE calculation of crystalline Sc4Pb5 at its relaxed geometry, from Alexandria via LeMat-Bulk.

Lattice parameters (Å, degrees): 10.323 10.323 4.403 90.00 90.00 90.00
Space group I4/mmm (No. 139)
Unique sites:
Sc1 0.000 0.322 0.000
Pb1 0.000 0.000 0.000
Pb2 0.174 0.174 0.500

Computed properties:
Energy of formation = -0.199 eV per atom
Size of the total moment = 0.0000 μB/atom
ΔE to the lowest computed polymorph = 0.0798 eV/atom

Record 4
The following is a GGA-PBE calculation of crystalline Cs2Er2HfS6 at its relaxed geometry, from Alexandria via LeMat-Bulk.

Lattice parameters (Å, degrees): 6.790 11.701 8.570 90.00 105.82 90.00
Space group C2/m (No. 12)
Unique sites:
Cs1 0.000 0.169 0.000
Er1 0.000 0.333 0.500
Hf1 0.000 0.000 0.500
S1 0.219 0.158 0.675
S2 0.244 0.500 0.674

Computed properties:
Size of the total moment = 0.0000 μB/atom
Formation energy without anion corrections = -1811 meV/atom

Record 5
The following is a GGA-PBE calculation of crystalline La2Pm6Nd5 at its relaxed geometry, from Alexandria via LeMat-Bulk.

Lattice parameters (Å, degrees): 11.995 20.995 3.681 90.00 90.00 90.00
Space group Pbam (No. 55)
Unique sites:
La1 0.174 0.220 0.000
Pm1 0.062 0.925 0.000
Pm2 0.075 0.637 0.000
Pm3 0.182 0.374 0.500
Nd1 0.000 0.500 0.500
Nd2 0.085 0.781 0.500
Nd3 0.201 0.056 0.500

Computed properties:
Energy of formation = 0.087 eV per atom
Size of the total moment = 0.0000 μB/atom

Record 6
The following is a GGA-PBE calculation of crystalline YNiAu at its relaxed geometry, from Alexandria via LeMat-Bulk.

Lattice parameters (Å, degrees): 5.133 6.415 6.742 90.00 90.00 90.00
Space group Ima2 (No. 46)
Unique sites:
Y1 0.250 0.175 0.000
Ni1 0.000 0.000 0.332
Au1 0.250 0.653 0.173

Computed properties:
Energy of formation = -0.565 eV per atom
Size of the total moment = 0.0000 μB/atom

Record 7
The following is a GGA-PBE calculation of crystalline Rb12H5Se3 at its relaxed geometry, from Alexandria via LeMat-Bulk.

Lattice parameters (Å, degrees): 18.474 18.474 18.474 90.00 90.00 90.00
Space group Ia-3d (No. 230)
Unique sites:
Rb1 0.025 0.060 0.654
H1 0.000 0.000 0.000
H2 0.000 0.250 0.375
Se1 0.000 0.250 0.125

Computed properties:
Size of the total moment = 0.0345 μB/atom
Total DFT energy (no corrections) = -0.089 hartree per atom

Record 8
The following is a GGA-PBE calculation of crystalline LaPrNi10 at its relaxed geometry, from Alexandria via LeMat-Bulk.

Lattice parameters (Å, degrees): 3.974 4.992 8.637 90.00 90.00 90.00
Space group Pmmm (No. 47)
Unique sites:
La1 0.000 0.000 0.000
Pr1 0.000 0.500 0.500
Ni1 0.000 0.000 0.333
Ni2 0.000 0.500 0.166
Ni3 0.500 0.000 0.500
Ni4 0.500 0.251 0.251
Ni5 0.500 0.500 0.000

Computed properties:
Energy of formation = -0.271 eV per atom
Size of the total moment = 0.2333 μB/atom

Record 9
The following is a GGA-PBE calculation of crystalline Tl7InPb4 at its relaxed geometry, from Alexandria via LeMat-Bulk.

Lattice parameters (Å, degrees): 5.4643 5.4643 14.2591 90.00 90.00 120.00
Space group P-3m1 (No. 164)
Unique sites:
Tl1 0.0000 0.0000 0.0000
Tl2 0.0000 0.0000 0.2512
Tl3 0.3333 0.6667 0.1708
Tl4 0.3333 0.6667 0.4224
In1 0.0000 0.0000 0.5000
Pb1 0.3333 0.6667 0.6664
Pb2 0.3333 0.6667 0.9155

Computed properties:
Energy of formation = 0.024 eV per atom
Size of the total moment = 0.0000 μB/atom

Record 10
The following is a GGA-PBE calculation of crystalline Nb2GaRePb at its relaxed geometry, from Alexandria via LeMat-Bulk.

Lattice parameters (Å, degrees): 4.784 4.784 4.948 90.00 90.00 90.00
Space group P4/mmm (No. 123)
Unique sites:
Nb1 0.000 0.500 0.000
Ga1 0.000 0.000 0.000
Re1 0.500 0.500 0.500
Pb1 0.000 0.000 0.500

Computed properties:
Energy of formation = 1.747 eV per atom
Size of the total moment = 0.3619 μB/atom

Record 11
The following is a GGA-PBE calculation of crystalline Na2CoOs at its relaxed geometry, from Alexandria via LeMat-Bulk.

Lattice parameters (Å, degrees): 8.197 8.197 4.641 90.00 90.00 90.00
Space group I-42d (No. 122)
Unique sites:
Na1 0.207 0.750 0.125
Co1 0.000 0.000 0.000
Os1 0.000 0.000 0.500

Computed properties:
Energy of formation = 1.392 eV per atom
Size of the total moment = 0.7302 μB/atom
ΔE to the lowest computed polymorph = 0.0000 eV/atom

Record 12
The following is a GGA-PBE calculation of crystalline Sc5Al4Os at its relaxed geometry, from Alexandria via LeMat-Bulk.

Lattice parameters (Å, degrees): 3.332 3.332 16.834 90.00 90.00 90.00
Space group P4/mmm (No. 123)
Unique sites:
Sc1 0.000 0.000 0.000
Sc2 0.000 0.000 0.206
Sc3 0.000 0.000 0.411
Al1 0.500 0.500 0.103
Al2 0.500 0.500 0.309
Os1 0.500 0.500 0.500

Computed properties:
Energy of formation = -0.488 eV per atom
Size of the total moment = 0.0000 μB/atom